No. 1
The following is a DFT calculation (PBE-GGA) of crystalline BaNaCoTe at its relaxed geometry.

Cell lengths 7.903, 7.903, 7.903 Å; angles 90.00, 90.00, 90.00 degrees
Fractional coordinates of all 16 atoms:
Ba 0.000 0.000 0.000
Ba 0.000 0.500 0.500
Ba 0.500 0.000 0.500
Ba 0.500 0.500 0.000
Na 0.000 0.000 0.500
Na 0.000 0.500 0.000
Na 0.500 0.000 0.000
Na 0.500 0.500 0.500
Co 0.250 0.250 0.250
Co 0.250 0.750 0.750
Co 0.750 0.250 0.750
Co 0.750 0.750 0.250
Te 0.250 0.250 0.750
Te 0.250 0.750 0.250
Te 0.750 0.250 0.250
Te 0.750 0.750 0.750

Output
total energy	-13.89	eV/f.u.
calculated density	4.7	g cm⁻³
space-group type	F-43m

***

No. 2
The following is a DFT calculation (PBE-GGA) of crystalline BaNaCoTe at its relaxed geometry.

Cell lengths 7.507, 7.507, 7.507 Å; angles 90.00, 90.00, 90.00 degrees
Fractional coordinates of all 16 atoms:
Ba 0.000 0.000 0.000
Ba 0.000 0.500 0.500
Ba 0.500 0.000 0.500
Ba 0.500 0.500 0.000
Na 0.250 0.250 0.750
Na 0.250 0.750 0.250
Na 0.750 0.250 0.250
Na 0.750 0.750 0.750
Co 0.000 0.000 0.500
Co 0.000 0.500 0.000
Co 0.500 0.000 0.000
Co 0.500 0.500 0.500
Te 0.250 0.250 0.250
Te 0.250 0.750 0.750
Te 0.750 0.250 0.750
Te 0.750 0.750 0.250

Output
total energy	-12.71	eV/f.u.
calculated density	5.4	g cm⁻³
space-group type	F-43m

***

No. 3
The following is a DFT calculation (PBE-GGA) of crystalline BaNaCoTe at its relaxed geometry.

Cell lengths 7.219, 7.219, 7.219 Å; angles 90.00, 90.00, 90.00 degrees
Fractional coordinates of all 16 atoms:
Ba 0.000 0.000 0.000
Ba 0.000 0.500 0.500
Ba 0.500 0.000 0.500
Ba 0.500 0.500 0.000
Na 0.250 0.250 0.250
Na 0.250 0.750 0.750
Na 0.750 0.250 0.750
Na 0.750 0.750 0.250
Co 0.250 0.250 0.750
Co 0.250 0.750 0.250
Co 0.750 0.250 0.250
Co 0.750 0.750 0.750
Te 0.000 0.000 0.500
Te 0.000 0.500 0.000
Te 0.500 0.000 0.000
Te 0.500 0.500 0.500

Output
total energy	-13.38	eV/f.u.
calculated density	6.1	g cm⁻³
space-group type	F-43m

***

No. 4
The following is a DFT calculation (PBE-GGA) of crystalline BaNaCoW at its relaxed geometry.

Cell lengths 7.277, 7.277, 7.277 Å; angles 90.00, 90.00, 90.00 degrees
Fractional coordinates of all 16 atoms:
Ba 0.000 0.000 0.000
Ba 0.000 0.500 0.500
Ba 0.500 0.000 0.500
Ba 0.500 0.500 0.000
Na 0.000 0.000 0.500
Na 0.000 0.500 0.000
Na 0.500 0.000 0.000
Na 0.500 0.500 0.500
Co 0.250 0.250 0.250
Co 0.250 0.750 0.750
Co 0.750 0.250 0.750
Co 0.750 0.750 0.250
W 0.250 0.250 0.750
W 0.250 0.750 0.250
W 0.750 0.250 0.250
W 0.750 0.750 0.750

Output
total energy	-16.42	eV/f.u.
calculated density	6.9	g cm⁻³
space-group type	F-43m

***

No. 5
The following is a DFT calculation (PBE-GGA) of crystalline BaNaCoW at its relaxed geometry.

Cell lengths 7.061, 7.061, 7.061 Å; angles 90.00, 90.00, 90.00 degrees
Fractional coordinates of all 16 atoms:
Ba 0.000 0.000 0.000
Ba 0.000 0.500 0.500
Ba 0.500 0.000 0.500
Ba 0.500 0.500 0.000
Na 0.250 0.250 0.250
Na 0.250 0.750 0.750
Na 0.750 0.250 0.750
Na 0.750 0.750 0.250
Co 0.250 0.250 0.750
Co 0.250 0.750 0.250
Co 0.750 0.250 0.250
Co 0.750 0.750 0.750
W 0.000 0.000 0.500
W 0.000 0.500 0.000
W 0.500 0.000 0.000
W 0.500 0.500 0.500

Output
total energy	-17.48	eV/f.u.
calculated density	7.6	g cm⁻³
space-group type	F-43m

***

No. 6
The following is a DFT calculation (PBE-GGA) of crystalline BaNaCoW at its relaxed geometry.

Cell lengths 6.856, 6.856, 6.856 Å; angles 90.00, 90.00, 90.00 degrees
Fractional coordinates of all 16 atoms:
Ba 0.000 0.000 0.000
Ba 0.000 0.500 0.500
Ba 0.500 0.000 0.500
Ba 0.500 0.500 0.000
Na 0.250 0.250 0.750
Na 0.250 0.750 0.250
Na 0.750 0.250 0.250
Na 0.750 0.750 0.750
Co 0.000 0.000 0.500
Co 0.000 0.500 0.000
Co 0.500 0.000 0.000
Co 0.500 0.500 0.500
W 0.250 0.250 0.250
W 0.250 0.750 0.750
W 0.750 0.250 0.750
W 0.750 0.750 0.250

Output
total energy	-17.66	eV/f.u.
calculated density	8.3	g cm⁻³
space-group type	F-43m